Entry 1:
This record from the Alexandria database describes Ta2AlCl after structural relaxation. The functional is PBE-GGA.

It has space group F-43m (No. 216), with a = 6.5970 Å, b = 6.5970 Å, c = 6.5970 Å, α = 90.00°, β = 90.00° and γ = 90.00°. The inequivalent atoms are Ta at (0.0000, 0.0000, 0.0000), Ta at (0.2500, 0.2500, 0.2500), Al at (0.0000, 0.0000, 0.5000) and Cl at (0.2500, 0.2500, 0.7500).

***

Entry 2:
This record from the Alexandria database describes Ta2AlCl after structural relaxation. The functional is PBE-GGA.

It has space group R-3m (No. 166, hexagonal axes), with a = 2.9527 Å, b = 2.9527 Å, c = 26.9619 Å, α = 90.00°, β = 90.00° and γ = 120.00°. The inequivalent atoms are Ta at (0.0000, 0.0000, 0.2464), Al at (0.0000, 0.0000, 0.0000) and Cl at (0.0000, 0.0000, 0.5000).

***

Entry 3:
This record from the Alexandria database describes TaAlCl2 after structural relaxation. The functional is PBE-GGA.

It has space group C2/m (No. 12), with a = 14.1808 Å, b = 2.9909 Å, c = 4.8750 Å, α = 90.00°, β = 99.93° and γ = 90.00°. The inequivalent atoms are Ta at (0.0000, 0.0000, 0.0000), Al at (0.0000, 0.5000, 0.5000) and Cl at (0.1394, 0.5000, 0.1909).

***

Entry 4:
This record from the Alexandria database describes TaAlCl2 after structural relaxation. The functional is PBE-GGA.

It has space group Pmmm (No. 47), with a = 2.9477 Å, b = 4.4625 Å, c = 5.4945 Å, α = 90.00°, β = 90.00° and γ = 90.00°. The inequivalent atoms are Ta at (0.0000, 0.0000, 0.0000), Al at (0.5000, 0.0000, 0.5000), Cl at (0.0000, 0.5000, 0.5000) and Cl at (0.5000, 0.5000, 0.0000).

***

Entry 5:
This record from the Alexandria database describes TaAl2Cl after structural relaxation. The functional is PBE-GGA.

It has space group R3m (No. 160, hexagonal axes), with a = 3.0049 Å, b = 3.0049 Å, c = 32.0553 Å, α = 90.00°, β = 90.00° and γ = 120.00°. The inequivalent atoms are Ta at (0.0000, 0.0000, 0.0000), Al at (0.0000, 0.0000, 0.4764), Al at (0.0000, 0.0000, 0.7381) and Cl at (0.0000, 0.0000, 0.2772).

***

Entry 6:
This record from the Alexandria database describes TaAlCl4 after structural relaxation. The functional is PBE-GGA.

It has space group F-43m (No. 216), with a = 8.0760 Å, b = 8.0760 Å, c = 8.0760 Å, α = 90.00°, β = 90.00° and γ = 90.00°. The inequivalent atoms are Ta at (0.0000, 0.0000, 0.0000), Al at (0.2500, 0.2500, 0.7500) and Cl at (0.1258, 0.1258, 0.3742).

***

Entry 7:
This record from the Alexandria database describes TaAlCl2 after structural relaxation. The functional is PBE-GGA.

It has space group P2/m (No. 10), with a = 3.0752 Å, b = 4.4307 Å, c = 5.3290 Å, α = 90.00°, β = 92.82° and γ = 90.00°. The inequivalent atoms are Ta at (0.0000, 0.0000, 0.0000), Al at (0.5000, 0.0000, 0.5000) and Cl at (0.1681, 0.5000, 0.2416).

***

Entry 8:
This record from the Alexandria database describes TaAl2Cl after structural relaxation. The functional is PBE-GGA.

It has space group R-3m (No. 166, hexagonal axes), with a = 3.0939 Å, b = 3.0939 Å, c = 25.2529 Å, α = 90.00°, β = 90.00° and γ = 120.00°. The inequivalent atoms are Ta at (0.0000, 0.0000, 0.0000), Al at (0.0000, 0.0000, 0.2500) and Cl at (0.0000, 0.0000, 0.5000).

***

| no. | E_form (uncorrected) (eV/atom) | energy (eV per atom) |
| --- | --- | --- |
| 1 | 0.66 | -6.664 |
| 2 | 0.04 | -7.288 |
| 3 | -0.38 | -5.204 |
| 4 | 0.04 | -4.778 |
| 5 | -0.27 | -5.562 |
| 6 | 0.98 | -2.848 |
| 7 | -0.13 | -4.948 |
| 8 | -0.18 | -5.477 |